Record 1
First-principles (GGA-PBE) data for an optimized crystal structure of Pr4Nd15Sm, as listed in the Alexandria database.

## Properties
The formation enthalpy at 0 K comes out at 13 meV/atom.

Cell and atoms, written as extended XYZ:
```
20
Lattice="5.218 0.000 0.000 0.000 5.218 0.000 0.000 0.000 26.032" Properties=species:S:1:pos:R:3 pbc="T T T"
Pr 0.000 0.000 2.605
Pr 0.000 0.000 7.821
Pr 0.000 0.000 18.210
Pr 0.000 0.000 23.426
Nd 0.000 2.609 0.000
Nd 0.000 2.609 5.212
Nd 0.000 2.609 10.433
Nd 0.000 2.609 15.598
Nd 0.000 2.609 20.819
Nd 2.609 0.000 0.000
Nd 2.609 0.000 5.212
Nd 2.609 0.000 10.433
Nd 2.609 0.000 15.598
Nd 2.609 0.000 20.819
Nd 2.609 2.609 2.604
Nd 2.609 2.609 7.827
Nd 2.609 2.609 13.016
Nd 2.609 2.609 18.205
Nd 2.609 2.609 23.428
Sm 0.000 0.000 13.016
```

---

Record 2
First-principles (GGA-PBE) data for an optimized crystal structure of Pr5Nd2Sm5, as listed in the Alexandria database.

## Properties
The formation enthalpy at 0 K comes out at 14 meV/atom.

Cell and atoms, written as extended XYZ:
```
12
Lattice="7.799 -2.596 0.000 7.799 2.596 0.000 -5.204 0.000 10.400" Properties=species:S:1:pos:R:3 pbc="T T T"
Pr 0.000 0.000 0.000
Pr -0.015 0.000 5.192
Pr 2.603 0.000 2.586
Pr 7.792 0.000 7.814
Pr 10.409 0.000 5.209
Nd -2.612 0.000 7.809
Nd 13.006 0.000 2.591
Sm -0.008 0.000 10.398
Sm 2.601 0.000 7.808
Sm 5.197 0.000 5.200
Sm 7.793 0.000 2.592
Sm 10.402 0.000 0.002
```

---

Record 3
First-principles (GGA-PBE) data for an optimized crystal structure of Pr3Nd12Sm, as listed in the Alexandria database.

## Properties
The formation enthalpy at 0 K comes out at 10 meV/atom.

Cell and atoms, written as extended XYZ:
```
16
Lattice="5.209 0.000 0.000 0.000 5.209 0.000 0.000 0.000 20.810" Properties=species:S:1:pos:R:3 pbc="T T T"
Pr 0.000 0.000 0.000
Pr 0.000 0.000 5.220
Pr 0.000 0.000 15.590
Nd 0.000 2.605 2.611
Nd 0.000 2.605 7.828
Nd 0.000 2.605 12.982
Nd 0.000 2.605 18.199
Nd 2.605 0.000 2.611
Nd 2.605 0.000 7.828
Nd 2.605 0.000 12.982
Nd 2.605 0.000 18.199
Nd 2.605 2.605 0.000
Nd 2.605 2.605 5.225
Nd 2.605 2.605 10.405
Nd 2.605 2.605 15.585
Sm 0.000 0.000 10.405
```

---

Question: The lowest formation enthalpy at 0 K belongs to which entry?
Answer: Pr3Nd12Sm